# Dy4Ho4Tm5, optimized geometry, DFT PBE
# ΔH_f (0 K)   22 meV per atom
# Calculated total energy   -4.523 eV per atom
# Total moment   0.0 μB per formula unit
data_Dy4Ho4Tm5
_cell_length_a 4.958
_cell_length_b 9.279
_cell_length_c 9.279
_cell_angle_alpha 85.91
_cell_angle_beta 74.50
_cell_angle_gamma 74.50
_symmetry_space_group_name_H-M 'P 1'
_symmetry_Int_Tables_number 1
_symmetry_space_group_name_Hall 'P 1'
loop_
_atom_site_label
_atom_site_type_symbol
_atom_site_fract_x
_atom_site_fract_y
_atom_site_fract_z
Ho1 Ho 0.230 0.617 0.923
Ho2 Ho 0.770 0.383 0.077
Ho3 Ho 0.153 0.077 0.617
Ho4 Ho 0.847 0.923 0.383
Tm1 Tm 0.461 0.230 0.847
Tm2 Tm 0.691 0.847 0.770
Tm3 Tm 0.000 0.000 0.000
Tm4 Tm 0.309 0.153 0.230
Tm5 Tm 0.539 0.770 0.153
Dy1 Dy 0.923 0.462 0.693
Dy2 Dy 0.384 0.693 0.538
Dy3 Dy 0.077 0.538 0.307
Dy4 Dy 0.616 0.307 0.462